# Lu2ThAs GGA-PBE relaxed
data_Lu2ThAs
_chemical_formula_sum 'Lu2 Th1 As1'
_symmetry_space_group_name_H-M 'P 4/m m m'
_symmetry_Int_Tables_number 123
_symmetry_space_group_name_Hall '-P 4 2'
_cell_length_a 3.648
_cell_length_b 3.648
_cell_length_c 7.696
_cell_angle_alpha 90.00
_cell_angle_beta 90.00
_cell_angle_gamma 90.00
loop_
_atom_site_label
_atom_site_type_symbol
_atom_site_fract_x
_atom_site_fract_y
_atom_site_fract_z
Lu1 Lu 0.000 0.000 0.203
Th1 Th 0.500 0.500 0.500
As1 As 0.500 0.500 0.000
# electronic total energy	-23.28	eV for the cell shown
# formation energy from the elements	-543	meV per atom
# calculated volume	25.6	A^3/atom